No. 1
{"formula": "Pr6ZrSn10", "functional": "PBE-GGA", "state": "optimized geometry", "lattice_angstrom": [[6.353, 0.000, 0.000], [0.000, 8.191, -4.729], [0.000, 0.000, 9.458]], "species": ["Pr", "Pr", "Pr", "Pr", "Pr", "Pr", "Zr", "Sn", "Sn", "Sn", "Sn", "Sn", "Sn", "Sn", "Sn", "Sn", "Sn"], "frac_coords": [[0.738, 0.388, 0.388], [0.738, 0.000, 0.612], [0.738, 0.612, 0.000], [0.262, 0.612, 0.612], [0.262, 0.000, 0.388], [0.262, 0.388, 0.000], [0.500, 0.000, 0.000], [0.804, 0.765, 0.765], [0.804, 0.000, 0.235], [0.804, 0.235, 0.000], [0.196, 0.235, 0.235], [0.196, 0.000, 0.765], [0.196, 0.765, 0.000], [0.500, 0.333, 0.667], [0.500, 0.667, 0.333], [0.000, 0.667, 0.333], [0.000, 0.333, 0.667]], "delta_e_f_kj_per_mol_atoms": -54.04, "total_magnetization_mub_per_fu": 0.000, "dft_energy_ev_per_cell": -86.8}



No. 2
{"formula": "Rb2ReSiF", "functional": "PBE-GGA", "state": "optimized geometry", "lattice_angstrom": [[6.612, 0.000, 0.000], [0.000, 4.631, 0.000], [0.000, 0.000, 6.612]], "species": ["Re", "Si", "Rb", "Rb", "F"], "frac_coords": [[0.000, 0.000, 0.000], [0.000, 0.500, 0.000], [0.000, 0.000, 0.500], [0.500, 0.000, 0.000], [0.500, 0.500, 0.500]], "raw_formation_energy_mev_per_atom": 251.5, "total_magnetization_mub_per_fu": 2.354, "dft_energy_ev_per_cell": -20.4}



No. 3
{"formula": "Nd2NiP4Rh3", "functional": "PBE-GGA", "state": "optimized geometry", "lattice_angstrom": [[-3.829, 1.319, 1.031], [0.401, -1.776, 3.762], [3.679, 8.024, 3.395]], "species": ["Nd", "Nd", "Ni", "P", "P", "P", "P", "Rh", "Rh", "Rh"], "frac_coords": [[0.500, 0.000, 0.247], [0.000, 0.500, 0.753], [0.500, 0.500, 0.500], [0.500, 0.500, 0.000], [0.000, 0.000, 0.000], [0.500, 0.000, 0.631], [0.000, 0.500, 0.369], [0.000, 0.000, 0.500], [0.500, 0.000, 0.886], [0.000, 0.500, 0.114]], "delta_e_f_kj_per_mol_atoms": -100.54, "total_magnetization_mub_per_fu": 0.000, "dft_energy_ev_per_cell": -69.4}



No. 4
{"formula": "InAsSe2", "functional": "PBE-GGA", "state": "optimized geometry", "lattice_angstrom": [[-0.082, -0.692, -3.433], [-1.706, -2.991, 0.644], [-6.276, 3.461, -0.547]], "species": ["As", "Se", "Se", "In"], "frac_coords": [[0.500, 0.500, 0.250], [0.000, 0.000, 0.024], [0.000, 0.000, 0.476], [0.500, 0.500, 0.750]], "raw_formation_energy_mev_per_atom": 140.9, "total_magnetization_mub_per_fu": 0.000, "dft_energy_ev_per_cell": -13.8}



No. 5
{"formula": "Tb2Nd5Tm5", "functional": "PBE-GGA", "state": "optimized geometry", "lattice_angstrom": [[-0.291, -5.065, -2.535], [5.194, 0.930, 3.889], [-9.553, -3.069, 7.229]], "species": ["Tb", "Tb", "Nd", "Nd", "Nd", "Nd", "Nd", "Tm", "Tm", "Tm", "Tm", "Tm"], "frac_coords": [[0.083, 0.165, 0.704], [0.917, 0.835, 0.296], [0.194, 0.388, 0.471], [0.747, 0.495, 0.779], [0.253, 0.505, 0.221], [0.806, 0.612, 0.529], [0.000, 0.000, 0.000], [0.500, 0.000, 0.500], [0.690, 0.379, 0.030], [0.568, 0.137, 0.244], [0.432, 0.863, 0.756], [0.310, 0.621, 0.970]], "delta_e_f_kj_per_mol_atoms": 9.18, "total_magnetization_mub_per_fu": 0.000, "dft_energy_ev_per_cell": -54.3}



No. 6
{"formula": "SrY3F", "functional": "PBE-GGA", "state": "optimized geometry", "lattice_angstrom": [[5.868, 0.000, 0.000], [0.000, 5.868, 0.000], [0.000, 0.000, 5.868]], "species": ["Y", "Y", "Y", "Sr", "F"], "frac_coords": [[0.000, 0.500, 0.000], [0.000, 0.000, 0.500], [0.500, 0.000, 0.000], [0.000, 0.000, 0.000], [0.500, 0.500, 0.500]], "raw_formation_energy_mev_per_atom": 988.4, "total_magnetization_mub_per_fu": 0.000, "dft_energy_ev_per_cell": -18.0}



No. 7
{"formula": "Zn2PtAu2", "functional": "PBE-GGA", "state": "optimized geometry", "lattice_angstrom": [[5.375, 0.000, 0.000], [0.000, 5.629, 0.000], [-2.687, -2.815, 5.893]], "species": ["Zn", "Zn", "Zn", "Zn", "Pt", "Pt", "Au", "Au", "Au", "Au"], "frac_coords": [[0.332, 0.513, 0.665], [0.668, 0.487, 0.335], [0.168, 0.848, 0.335], [0.832, 0.152, 0.665], [0.750, 0.500, 0.000], [0.250, 0.500, 0.000], [0.886, 0.756, 0.771], [0.114, 0.244, 0.229], [0.614, 0.985, 0.229], [0.386, 0.015, 0.771]], "delta_e_f_kj_per_mol_atoms": -14.68, "total_magnetization_mub_per_fu": 0.000, "dft_energy_ev_per_cell": -31.8}



No. 8
{"formula": "BaTa2W", "functional": "PBE-GGA", "state": "optimized geometry", "lattice_angstrom": [[3.015, 0.022, 0.000], [-1.177, 2.776, 0.000], [0.000, 0.000, 10.546]], "species": ["Ba", "W", "Ta", "Ta"], "frac_coords": [[0.500, 0.500, 0.750], [0.500, 0.500, 0.250], [0.000, 0.000, 0.051], [0.000, 0.000, 0.449]], "delta_e_f_kj_per_mol_atoms": 67.78, "total_magnetization_mub_per_fu": 0.000, "dft_energy_ev_per_cell": -35.8}